The following is a PBE calculation of crystalline Ta2TcP2 at its relaxed geometry, from Alexandria.

Lattice parameters (Å, degrees): 6.638 6.638 3.353 90.00 90.00 90.00
Fractional positions:
P 0.646 0.146 0.000
P 0.354 0.854 0.000
Tc 0.500 0.500 0.000
Ta 0.653 0.847 0.500
Ta 0.347 0.153 0.500
Ta 0.847 0.347 0.500
Ta 0.153 0.653 0.500
P 0.146 0.354 0.000
P 0.854 0.646 0.000
Tc 0.000 0.000 0.000

Results
E above lowest polymorph   0.000 eV per atom
Fermi-level density of states   3.0 states/eV/f.u.
V   14.77 Å³ per atom
Symmetry   P4/mbm, No. 127
Spin magnetization   0.00 μB per formula unit
Crystal system   tetragonal
ΔE_f   -249 kJ/mol of formula units

***

The following is a PBE calculation of crystalline Ta2TeP at its relaxed geometry, from Alexandria.

Lattice parameters (Å, degrees): 3.904 3.465 5.981 77.47 90.00 90.00
Fractional positions:
Te 0.500 0.500 0.000
Ta 0.000 0.816 0.310
P 0.500 0.000 0.500
Ta 0.000 0.184 0.690

Results
E above lowest polymorph   0.418 eV per atom
Fermi-level density of states   2.2 states/eV/f.u.
V   19.74 Å³ per atom
Symmetry   P2/m, No. 10
Uncorrected formation energy   0.05 eV per atom
Spin magnetization   0.00 μB per formula unit
Crystal system   monoclinic

***

The following is a PBE calculation of crystalline TaTeP3 at its relaxed geometry, from Alexandria.

Lattice parameters (Å, degrees): 4.843 4.843 4.843 90.00 90.00 90.00
Fractional positions:
P 0.500 0.000 0.000
P 0.000 0.000 0.500
Te 0.000 0.000 0.000
Ta 0.500 0.500 0.500
P 0.000 0.500 0.000

Results
E above lowest polymorph   1.235 eV per atom
Fermi-level density of states   5.6 states/eV/f.u.
V   22.72 Å³ per atom
Symmetry   Pm-3m, No. 221
Uncorrected formation energy   1.71 eV per atom
Spin magnetization   0.00 μB per formula unit
Crystal system   cubic

***

The following is a PBE calculation of crystalline Ta2TeP at its relaxed geometry, from Alexandria.

Lattice parameters (Å, degrees): 3.431 3.431 6.379 90.00 90.00 90.00
Fractional positions:
Ta 0.500 0.500 0.243
Ta 0.000 0.000 0.947
Te 0.000 0.000 0.475
P 0.500 0.500 0.834

Results
E above lowest polymorph   0.000 eV per atom
Fermi-level density of states   3.4 states/eV/f.u.
V   18.77 Å³ per atom
Symmetry   P4mm, No. 99
Uncorrected formation energy   -0.36 eV per atom
Spin magnetization   0.00 μB per formula unit
Crystal system   tetragonal

***

The following is a PBE calculation of crystalline TaTe3P at its relaxed geometry, from Alexandria.

Lattice parameters (Å, degrees): 3.640 8.749 9.818 69.80 90.00 90.00
Fractional positions:
Ta 0.750 0.068 0.275
Te 0.750 0.780 0.188
Te 0.750 0.166 0.532
Te 0.250 0.220 0.812
P 0.750 0.877 0.911
P 0.250 0.123 0.089
Te 0.250 0.346 0.191
Te 0.250 0.834 0.468
Ta 0.250 0.932 0.725
Te 0.750 0.654 0.809

Results
E above lowest polymorph   0.000 eV per atom
Fermi-level density of states   1.5 states/eV/f.u.
V   29.34 Å³ per atom
Symmetry   P2_1/m, No. 11
Uncorrected formation energy   -0.21 eV per atom
Spin magnetization   0.00 μB per formula unit
Crystal system   monoclinic

***

The following is a PBE calculation of crystalline Ta2TeP at its relaxed geometry, from Alexandria.

Lattice parameters (Å, degrees): 3.441 4.223 5.118 90.00 90.00 90.00
Fractional positions:
Ta 0.000 0.000 0.000
Ta 0.500 0.000 0.500
Te 0.500 0.500 0.000
P 0.000 0.500 0.500

Results
E above lowest polymorph   0.734 eV per atom
Fermi-level density of states   4.0 states/eV/f.u.
V   18.59 Å³ per atom
Symmetry   Pmmm, No. 47
Uncorrected formation energy   0.37 eV per atom
Spin magnetization   0.00 μB per formula unit
Crystal system   orthorhombic

***

The following is a PBE calculation of crystalline Ta2TeP at its relaxed geometry, from Alexandria.

Lattice parameters (Å, degrees): 5.066 5.066 5.066 137.65 117.12 78.77
Fractional positions:
Te 0.500 0.000 0.500
Ta 0.801 0.801 0.000
Ta 0.199 0.199 0.000
P 0.000 0.500 0.500

Results
E above lowest polymorph   0.393 eV per atom
Fermi-level density of states   2.9 states/eV/f.u.
V   18.94 Å³ per atom
Symmetry   Immm, No. 71
Uncorrected formation energy   0.03 eV per atom
Spin magnetization   0.00 μB per formula unit
Crystal system   orthorhombic

***

The following is a PBE calculation of crystalline Ta2TeP2 at its relaxed geometry, from Alexandria.

Lattice parameters (Å, degrees): 7.439 7.439 3.192 90.00 90.00 90.00
Fractional positions:
Te 0.500 0.500 0.000
Ta 0.143 0.357 0.000
Ta 0.357 0.857 0.000
Ta 0.643 0.143 0.000
P 0.135 0.635 0.500
Te 0.000 0.000 0.000
P 0.865 0.365 0.500
Ta 0.857 0.643 0.000
P 0.635 0.865 0.500
P 0.365 0.135 0.500

Results
Fermi-level density of states   2.1 states/eV/f.u.
V   17.66 Å³ per atom
Symmetry   P4/mbm, No. 127
Uncorrected formation energy   -0.36 eV per atom
Spin magnetization   0.00 μB per formula unit
Crystal system   tetragonal

***

The following is a PBE calculation of crystalline Ta2TeP at its relaxed geometry, from Alexandria.

Lattice parameters (Å, degrees): 5.088 5.088 5.088 131.20 131.20 71.50
Fractional positions:
Te 0.500 0.500 0.000
Ta 0.250 0.750 0.500
Ta 0.000 0.000 0.000
P 0.750 0.250 0.500

Results
E above lowest polymorph   0.717 eV per atom
Fermi-level density of states   3.6 states/eV/f.u.
V   18.24 Å³ per atom
Symmetry   I-4m2, No. 119
Uncorrected formation energy   0.35 eV per atom
Spin magnetization   0.00 μB per formula unit
Crystal system   tetragonal

***

The following is a PBE calculation of crystalline Ta2TeP at its relaxed geometry, from Alexandria.

Lattice parameters (Å, degrees): 3.252 3.252 6.676 90.00 90.00 90.00
Fractional positions:
Te 0.500 0.500 0.000
P 0.500 0.500 0.500
Ta 0.000 0.000 0.288
Ta 0.000 0.000 0.712

Results
E above lowest polymorph   0.177 eV per atom
Fermi-level density of states   3.1 states/eV/f.u.
V   17.65 Å³ per atom
Symmetry   P4/mmm, No. 123
Uncorrected formation energy   -0.19 eV per atom
Spin magnetization   0.00 μB per formula unit
Crystal system   tetragonal

***

The following is a PBE calculation of crystalline TaTe2P6 at its relaxed geometry, from Alexandria.

Lattice parameters (Å, degrees): 8.300 6.055 9.925 119.02 111.05 83.29
Fractional positions:
P 0.919 0.339 0.971
Ta 0.808 0.412 0.203
Te 0.231 0.237 0.495
P 0.069 0.021 0.840
P 0.872 0.425 0.606
P 0.081 0.661 0.029
Ta 0.192 0.588 0.797
P 0.272 0.196 0.825
P 0.128 0.575 0.394
P 0.527 0.185 0.018
P 0.473 0.815 0.982
P 0.309 0.778 0.660
Te 0.769 0.763 0.505
P 0.691 0.222 0.340
P 0.728 0.804 0.175
Te 0.327 0.606 0.261
Te 0.673 0.394 0.739
P 0.931 0.979 0.160

Results
Fermi-level density of states   3.4 states/eV/f.u.
V   22.56 Å³ per atom
Symmetry   P-1, No. 2
Uncorrected formation energy   0.09 eV per atom
Spin magnetization   0.00 μB per formula unit
Crystal system   triclinic

***

The following is a PBE calculation of crystalline TaTe3P2 at its relaxed geometry, from Alexandria.

Lattice parameters (Å, degrees): 3.373 10.066 10.675 59.44 90.00 90.00
Fractional positions:
Ta 0.250 0.771 0.668
Ta 0.750 0.229 0.332
P 0.750 0.729 0.865
Te 0.750 0.002 0.836
Te 0.750 0.570 0.145
P 0.250 0.271 0.135
P 0.250 0.006 0.405
Te 0.250 0.345 0.468
P 0.750 0.994 0.595
Te 0.250 0.998 0.164
Te 0.750 0.655 0.532
Te 0.250 0.430 0.855

Results
Fermi-level density of states   1.6 states/eV/f.u.
V   26.01 Å³ per atom
Symmetry   P2_1/m, No. 11
Uncorrected formation energy   -0.15 eV per atom
Spin magnetization   0.00 μB per formula unit
Crystal system   monoclinic

***

The following is a PBE calculation of crystalline Ta2TeP at its relaxed geometry, from Alexandria.

Lattice parameters (Å, degrees): 4.615 4.615 3.306 90.00 90.00 90.00
Fractional positions:
Te 0.500 0.500 0.500
Ta 0.000 0.500 0.000
P 0.000 0.000 0.500
Ta 0.500 0.000 0.000

Results
E above lowest polymorph   0.346 eV per atom
Fermi-level density of states   3.4 states/eV/f.u.
V   17.61 Å³ per atom
Symmetry   P4/mmm, No. 123
Uncorrected formation energy   -0.02 eV per atom
Spin magnetization   0.00 μB per formula unit
Crystal system   tetragonal